Compound: Y3CoGe2
Source: Alexandria
Functional: PBE
Structure: optimized geometry

abc: 11.538 4.143 11.204
angles: 90.00 90.00 90.00
Positions (direct):
Y: 0.056 0.250 0.130
Y: 0.120 0.750 0.556
Y: 0.223 0.250 0.799
Y: 0.277 0.750 0.299
Y: 0.380 0.250 0.056
Y: 0.444 0.750 0.630
Y: 0.556 0.250 0.370
Y: 0.620 0.750 0.944
Y: 0.723 0.250 0.701
Y: 0.777 0.750 0.201
Y: 0.880 0.250 0.444
Y: 0.944 0.750 0.870
Co: 0.131 0.250 0.368
Co: 0.369 0.750 0.868
Co: 0.631 0.250 0.132
Co: 0.869 0.750 0.632
Ge: 0.018 0.750 0.316
Ge: 0.193 0.750 0.996
Ge: 0.307 0.250 0.496
Ge: 0.482 0.250 0.816
Ge: 0.518 0.750 0.184
Ge: 0.693 0.750 0.504
Ge: 0.807 0.250 0.004
Ge: 0.982 0.250 0.684

## Properties
Crystal system = orthorhombic
Calculated formation energy = -0.7405 eV per atom
Final energy = -6.696 eV/atom
Mass density = 5.84 g/cm3
SG = No. 62


Compound: Y2CoGe
Source: Alexandria
Functional: PBE
Structure: optimized geometry

abc: 5.787 4.022 7.960
angles: 90.00 110.98 90.00
Positions (direct):
Y: 0.218 0.250 0.444
Y: 0.222 0.250 0.910
Y: 0.778 0.750 0.090
Y: 0.782 0.750 0.556
Co: 0.371 0.750 0.718
Co: 0.629 0.250 0.282
Ge: 0.346 0.750 0.209
Ge: 0.654 0.250 0.791

## Properties
Crystal system = monoclinic
Calculated formation energy = -0.5438 eV per atom
Final energy = -6.707 eV/atom
Mass density = 5.94 g/cm3
SG = No. 11


Compound: YCoGe
Source: Alexandria
Functional: PBE
Structure: optimized geometry

abc: 6.911 4.237 7.205
angles: 90.00 90.00 90.00
Positions (direct):
Y: 0.010 0.250 0.196
Y: 0.490 0.750 0.696
Y: 0.510 0.250 0.304
Y: 0.990 0.750 0.804
Co: 0.154 0.750 0.434
Co: 0.346 0.250 0.934
Co: 0.654 0.750 0.066
Co: 0.846 0.250 0.566
Ge: 0.201 0.250 0.602
Ge: 0.299 0.750 0.102
Ge: 0.701 0.250 0.898
Ge: 0.799 0.750 0.398

## Properties
Crystal system = orthorhombic
Calculated formation energy = -0.6653 eV per atom
Final energy = -6.728 eV/atom
Mass density = 6.94 g/cm3
SG = No. 62


Question: Which of these has the lowest final energy?
Answer: YCoGe


Question: What is the formula in the first record?
Answer: Y3CoGe2


Question: What is the calculated formation energy in the second record?
Answer: -0.5438 eV per atom